No. 1
# CsMg2CdN, relaxed, DFT GGA-PBE
# ΔE_f (raw) ... 1.192 eV per atom
# Uncorrected energy ... -1.47 eV/atom
data_CsMg2CdN
_symmetry_space_group_name_H-M 'P 1'
_symmetry_Int_Tables_number 1
_cell_length_a 5.317
_cell_length_b 7.211
_cell_length_c 5.317
_cell_angle_alpha 90.00
_cell_angle_beta 90.00
_cell_angle_gamma 90.00
loop_
_symmetry_equiv_pos_as_xyz
'x,y,z'
loop_
_atom_site_label
_atom_site_type_symbol
_atom_site_fract_x
_atom_site_fract_y
_atom_site_fract_z
Cs1 Cs 0.000 0.500 0.000
Mg1 Mg 0.000 0.000 0.500
Mg2 Mg 0.500 0.000 0.000
N1 N 0.500 0.500 0.500
Cd1 Cd 0.000 0.000 0.000

=====

No. 2
# CsMgCdO2, relaxed, DFT GGA-PBE
# ΔE_f (raw) ... 0.481 eV per atom
# Uncorrected energy ... -2.18 eV/atom
data_CsMgCdO2
_symmetry_space_group_name_H-M 'P 1'
_symmetry_Int_Tables_number 1
_cell_length_a 4.507
_cell_length_b 4.507
_cell_length_c 6.551
_cell_angle_alpha 90.00
_cell_angle_beta 90.00
_cell_angle_gamma 90.00
loop_
_symmetry_equiv_pos_as_xyz
'x,y,z'
loop_
_atom_site_label
_atom_site_type_symbol
_atom_site_fract_x
_atom_site_fract_y
_atom_site_fract_z
Cd1 Cd 0.000 0.000 0.500
O1 O 0.500 0.000 0.000
O2 O 0.000 0.500 0.000
Cs1 Cs 0.000 0.000 0.000
Mg1 Mg 0.500 0.500 0.500

=====

No. 3
# CsMgCdP, relaxed, DFT GGA-PBE
# Uncorrected energy ... -2.58 eV/atom
# Formation energy ... -1.6 eV per formula unit
data_CsMgCdP
_symmetry_space_group_name_H-M 'P 1'
_symmetry_Int_Tables_number 1
_cell_length_a 4.352
_cell_length_b 4.352
_cell_length_c 14.507
_cell_angle_alpha 90.00
_cell_angle_beta 90.00
_cell_angle_gamma 90.00
loop_
_symmetry_equiv_pos_as_xyz
'x,y,z'
loop_
_atom_site_label
_atom_site_type_symbol
_atom_site_fract_x
_atom_site_fract_y
_atom_site_fract_z
P1 P 0.250 0.250 0.100
P2 P 0.750 0.750 0.900
Cd1 Cd 0.750 0.250 0.500
Cd2 Cd 0.250 0.750 0.500
Cs1 Cs 0.750 0.750 0.229
Cs2 Cs 0.250 0.250 0.771
Mg1 Mg 0.750 0.250 0.000
Mg2 Mg 0.250 0.750 0.000

=====

No. 4
# CsMgCdPb2, relaxed, DFT GGA-PBE
# Uncorrected energy ... -2.26 eV/atom
# Formation energy ... -0.5 eV per formula unit
data_CsMgCdPb2
_symmetry_space_group_name_H-M 'P 1'
_symmetry_Int_Tables_number 1
_cell_length_a 5.180
_cell_length_b 5.180
_cell_length_c 7.420
_cell_angle_alpha 110.43
_cell_angle_beta 110.43
_cell_angle_gamma 90.00
loop_
_symmetry_equiv_pos_as_xyz
'x,y,z'
loop_
_atom_site_label
_atom_site_type_symbol
_atom_site_fract_x
_atom_site_fract_y
_atom_site_fract_z
Mg1 Mg 0.750 0.250 0.500
Cs1 Cs 0.000 0.000 0.000
Pb1 Pb 0.622 0.622 0.244
Pb2 Pb 0.378 0.378 0.756
Cd1 Cd 0.250 0.750 0.500

=====

No. 5
# CsMgCd2Pd, relaxed, DFT GGA-PBE
# Uncorrected energy ... -2.07 eV/atom
# Formation energy ... -0.9 eV per formula unit
data_CsMgCd2Pd
_symmetry_space_group_name_H-M 'P 1'
_symmetry_Int_Tables_number 1
_cell_length_a 5.449
_cell_length_b 5.449
_cell_length_c 5.209
_cell_angle_alpha 90.00
_cell_angle_beta 90.00
_cell_angle_gamma 90.00
loop_
_symmetry_equiv_pos_as_xyz
'x,y,z'
loop_
_atom_site_label
_atom_site_type_symbol
_atom_site_fract_x
_atom_site_fract_y
_atom_site_fract_z
Cs1 Cs 0.500 0.500 0.500
Mg1 Mg 0.000 0.000 0.500
Cd1 Cd 0.500 0.000 0.000
Cd2 Cd 0.000 0.500 0.000
Pd1 Pd 0.000 0.000 0.000

=====

No. 6
# CsMg2CdPt, relaxed, DFT GGA-PBE
# Uncorrected energy ... -2.47 eV/atom
# Formation energy ... -1.4 eV per formula unit
data_CsMg2CdPt
_symmetry_space_group_name_H-M 'P 1'
_symmetry_Int_Tables_number 1
_cell_length_a 5.240
_cell_length_b 5.240
_cell_length_c 5.466
_cell_angle_alpha 90.00
_cell_angle_beta 90.00
_cell_angle_gamma 90.00
loop_
_symmetry_equiv_pos_as_xyz
'x,y,z'
loop_
_atom_site_label
_atom_site_type_symbol
_atom_site_fract_x
_atom_site_fract_y
_atom_site_fract_z
Cd1 Cd 0.000 0.000 0.500
Mg1 Mg 0.500 0.000 0.000
Mg2 Mg 0.000 0.500 0.000
Cs1 Cs 0.500 0.500 0.500
Pt1 Pt 0.000 0.000 0.000